Entry 1:
! Li2SmTl2 | Alexandria via LeMat-Bulk | GGA-PBE | optimized geometry; values from VASP
! * calculated formation energy: -255 meV/atom
! * energy above the lowest structure with this stoichiometry: 0.000 eV per formula unit
! * M_tot: 0.0 μB/f.u.
! * calculated volume: 243.4 Å³ per cell
&SYSTEM
  ibrav = 0, nat = 10, ntyp = 3
/
ATOMIC_SPECIES
Sm 150.36 Sm.upf
Tl 204.38 Tl.upf
Li 6.94 Li.upf
ATOMIC_POSITIONS angstrom
Sm 1.4563 -5.2366 -2.5128
Sm 2.8406 -7.2589 2.1146
Tl 1.4957 -7.8511 -0.6220
Tl 2.8011 -4.6444 0.2239
Tl 5.9401 -6.6977 1.8060
Tl -1.6433 -5.7979 -2.2042
Li -0.2094 -2.6189 -1.2146
Li 4.5063 -9.8766 0.8165
Li -0.1222 -5.2888 0.6664
Li 4.4190 -7.2068 -1.0645
CELL_PARAMETERS angstrom
-3.1359 -3.0913 2.2099
0.0047 -2.9868 -4.1714
7.4280 -6.4174 1.5634

---

Entry 2:
! LiSm2Tl2 | Alexandria via LeMat-Bulk | GGA-PBE | optimized geometry; values from VASP
! * calculated formation energy: -169 meV/atom
! * energy above the lowest structure with this stoichiometry: 0.496 eV per formula unit
! * M_tot: 0.0 μB/f.u.
! * calculated volume: 282.7 Å³ per cell
&SYSTEM
  ibrav = 0, nat = 10, ntyp = 3
/
ATOMIC_SPECIES
Sm 150.36 Sm.upf
Tl 204.38 Tl.upf
Li 6.94 Li.upf
ATOMIC_POSITIONS angstrom
Sm -2.2501 -1.9449 4.0601
Sm 0.4411 -2.2209 0.7128
Sm -2.1840 -5.5382 0.4602
Sm 0.5072 -5.8142 -2.8871
Tl -1.5915 -3.2433 -1.6426
Tl 2.7437 -4.1476 -1.1711
Tl -0.1514 -4.5159 2.8156
Tl -4.4866 -3.6115 2.3441
Li -1.5062 -3.7494 -4.2588
Li 0.8975 -2.6801 -2.4144
CELL_PARAMETERS angstrom
-4.8075 -2.1387 -3.6888
4.1988 -4.2908 -2.9845
-1.1342 -1.3296 7.8463

---

Entry 3:
! Li2Sm3Tl3 | Alexandria via LeMat-Bulk | GGA-PBE | optimized geometry; values from VASP
! * calculated formation energy: -279 meV/atom
! * energy above the lowest structure with this stoichiometry: 0.000 eV per formula unit
! * M_tot: 0.0 μB/f.u.
! * calculated volume: 198.9 Å³ per cell
&SYSTEM
  ibrav = 0, nat = 8, ntyp = 3
/
ATOMIC_SPECIES
Tl 204.38 Tl.upf
Sm 150.36 Sm.upf
Li 6.94 Li.upf
ATOMIC_POSITIONS angstrom
Tl 2.3267 0.1110 2.6124
Tl 2.3267 2.4817 -0.1110
Tl 0.0000 2.7425 5.8709
Sm 0.0000 0.0000 0.0000
Sm 0.0000 2.5835 2.3032
Sm 2.3267 0.2700 6.1800
Li 0.0000 0.1785 4.1675
Li 2.3267 2.6749 4.3157
CELL_PARAMETERS angstrom
4.6533 0.0000 0.0000
0.0000 4.9634 -0.2220
-2.3267 -2.1099 8.7053

---

Entry 4:
! Li4SmTl5 | Alexandria via LeMat-Bulk | GGA-PBE | optimized geometry; values from VASP
! * calculated formation energy: -251 meV/atom
! * M_tot: 0.0 μB/f.u.
! * calculated volume: 226.5 Å³ per cell
&SYSTEM
  ibrav = 0, nat = 10, ntyp = 3
/
ATOMIC_SPECIES
Tl 204.38 Tl.upf
Li 6.94 Li.upf
Sm 150.36 Sm.upf
ATOMIC_POSITIONS angstrom
Tl 7.0227 5.9685 0.0279
Tl 11.6041 10.5113 -1.7178
Tl 4.6908 3.6562 0.9164
Tl 9.3547 8.2808 -0.8607
Tl 2.4413 1.4257 1.7735
Li 2.5987 2.5768 -0.9902
Li 4.8981 4.8568 -1.8663
Li 7.2522 7.1910 -2.7632
Li 9.5516 9.4710 -3.6394
Sm 0.0000 0.0000 0.0000
CELL_PARAMETERS angstrom
-0.6302 1.7978 3.0246
2.5253 -1.9087 1.6606
12.1503 12.0478 -4.6295

---

Entry 5:
! LiSmTl2 | Alexandria via LeMat-Bulk | GGA-PBE | optimized geometry; values from VASP
! * calculated formation energy: -315 meV/atom
! * energy above the lowest structure with this stoichiometry: 0.063 eV per formula unit
! * M_tot: 0.0 μB/f.u.
! * calculated volume: 104.6 Å³ per cell
&SYSTEM
  ibrav = 0, nat = 4, ntyp = 3
/
ATOMIC_SPECIES
Li 6.94 Li.upf
Tl 204.38 Tl.upf
Sm 150.36 Sm.upf
ATOMIC_POSITIONS angstrom
Li 1.9750 0.0000 0.0000
Tl 0.0000 2.5727 0.0000
Tl 0.0000 0.0000 2.5727
Sm 1.9750 2.5727 2.5727
CELL_PARAMETERS angstrom
3.9500 0.0000 0.0000
0.0000 5.1454 0.0000
0.0000 0.0000 5.1454

---

Entry 6:
! Li6SmTl6 | Alexandria via LeMat-Bulk | GGA-PBE | optimized geometry; values from VASP
! * calculated formation energy: -237 meV/atom
! * M_tot: 0.0 μB/f.u.
! * calculated volume: 281.8 Å³ per cell
&SYSTEM
  ibrav = 0, nat = 13, ntyp = 3
/
ATOMIC_SPECIES
Tl 204.38 Tl.upf
Li 6.94 Li.upf
Sm 150.36 Sm.upf
ATOMIC_POSITIONS angstrom
Tl 2.9752 2.4042 4.5331
Tl 5.9505 2.3738 2.3177
Tl 2.9752 1.2400 1.2107
Tl 5.9505 4.6197 4.5104
Tl 8.9257 5.7534 5.6173
Tl 2.9752 4.5893 2.2950
Li 4.4629 3.4410 -0.0266
Li 1.4876 0.0557 3.4406
Li 5.9505 5.2677 1.6001
Li 4.4629 0.0557 3.4406
Li 1.4876 3.4410 -0.0266
Li 5.9505 1.7258 5.2279
Sm 0.0000 0.0000 0.0000
CELL_PARAMETERS angstrom
5.9505 0.0000 0.0000
2.9752 6.8820 -0.0533
2.9752 0.1115 6.8813